Run 1
PBE-GGA SmDyRu, optimized geometry; total magnetization = 0.00 μB per atom; space-group type = C2/m, No. 12
1.0
3.425 -3.390 0.000
3.425 3.390 0.000
-1.705 0.000 6.858
Sm Dy Ru
2 2 2
Cartesian
0.009 0.000 1.703 Sm
5.136 0.000 5.154 Sm
1.724 0.000 5.211 Dy
3.421 0.000 1.646 Dy
1.712 1.695 0.000 Ru
1.712 -1.695 0.000 Ru



Run 2
PBE-GGA SmDyRu, optimized geometry; total magnetization = 0.00 μB per atom; space-group type = I4mm, No. 107
1.0
-1.715 1.715 6.622
1.715 -1.715 6.622
1.715 1.715 -6.622
Sm Dy Ru
1 1 1
Cartesian
0.000 0.000 0.000 Sm
0.000 0.000 3.338 Dy
0.000 0.000 8.346 Ru



Which of them is the most stable, and which is the least stable? run 2 and run 1, in that order.



Run 1
PBE-GGA SmDy2Ru, optimized geometry; total magnetization = 0.00 μB per atom; space-group type = Pnma, No. 62
1.0
7.323 0.000 0.000
0.000 9.266 0.000
0.000 0.000 6.376
Sm Dy Ru
4 8 4
Cartesian
0.299 2.316 0.853 Sm
3.363 6.949 4.042 Sm
3.961 2.316 2.335 Sm
7.024 6.949 5.523 Sm
1.292 0.608 4.261 Dy
1.292 4.025 4.261 Dy
2.369 5.241 1.073 Dy
2.369 8.658 1.073 Dy
4.954 0.608 5.303 Dy
4.954 4.025 5.303 Dy
6.031 5.241 2.115 Dy
6.031 8.658 2.115 Dy
0.834 6.949 2.888 Ru
2.827 2.316 6.076 Ru
4.496 6.949 0.301 Ru
6.489 2.316 3.489 Ru



Run 2
PBE-GGA SmDy2Ru, optimized geometry; total magnetization = 0.00 μB per atom; space-group type = P4/mmm, No. 123
1.0
3.437 0.000 0.000
0.000 3.437 0.000
0.000 0.000 9.021
Sm Dy Ru
1 2 1
Cartesian
0.000 0.000 0.000 Sm
1.719 1.719 2.869 Dy
1.719 1.719 6.152 Dy
0.000 0.000 4.510 Ru



Run 3
PBE-GGA SmDy2Ru, optimized geometry; total magnetization = 0.00 μB per atom; space-group type = Cmcm, No. 63
1.0
1.958 -6.037 0.000
1.958 6.037 0.000
0.000 0.000 9.181
Sm Dy Ru
2 4 2
Cartesian
1.958 5.125 6.886 Sm
1.958 -5.125 2.295 Sm
1.958 1.744 5.223 Dy
1.958 1.744 8.549 Dy
1.958 -1.744 0.632 Dy
1.958 -1.744 3.958 Dy
1.958 2.953 2.295 Ru
1.958 -2.953 6.886 Ru



Run 4
PBE-GGA SmDy2Ru, optimized geometry; total magnetization = 0.00 μB per atom; space-group type = R-3m, No. 166
1.0
1.756 1.014 10.782
-1.756 1.014 10.782
0.000 -2.028 10.782
Sm Dy Ru
1 2 1
Cartesian
0.000 0.000 0.000 Sm
0.000 0.000 3.500 Dy
0.000 0.000 28.847 Dy
0.000 0.000 16.174 Ru



Which of them is the most stable, and which is the least stable? run 1 and run 4, in that order.